PBE with a Hubbard U NiAs2SeO, relaxed; SG = P4/mmm, No. 123; E above lowest polymorph = 228 meV/atom; N(E_F) = 3.15 states/eV/cell; total magnetization = 0.37 μB/atom
1.0
-3.2112 2.9398 -1.0945
-1.8469 -0.5057 4.0602
2.6478 3.5032 1.6408
Ni Se As O
1 1 2 1
Cartesian
0.0000 0.0000 0.0000
1.3239 1.7516 0.8204
-0.9234 -0.2528 2.0301
-1.6056 1.4699 -0.5473
-1.2051 2.9686 2.3032